Ba2LaGaSe5 | GGA-PBE | relaxed

The structure in extended XYZ format:
```
18
Lattice="2.1629 -9.6540 0.0000 2.1629 9.6540 0.0000 0.0000 0.0000 13.6335" Properties=species:S:1:pos:R:3 pbc="T T T"
Ba 2.1629 7.3365 6.8168
Ba 2.1629 7.2757 2.0336
Ba 2.1629 -7.2757 8.8503
Ba 2.1629 -7.3365 0.0000
La 2.1629 5.7980 11.5113
La 2.1629 -5.7980 4.6945
Ga 2.1629 1.0826 3.1839
Ga 2.1629 -1.0826 10.0006
Se 2.1629 8.9677 11.3502
Se 2.1629 3.8757 6.7077
Se 2.1629 3.4847 2.5336
Se 2.1629 2.9022 11.2583
Se 2.1629 0.0472 7.9070
Se 2.1629 -0.0472 1.0902
Se 2.1629 -2.9022 4.4415
Se 2.1629 -3.4847 9.3504
Se 2.1629 -3.8757 13.5244
Se 2.1629 -8.9677 4.5335
```

- Formation energy from raw total energies: -1.67 eV/atom
- Magnetization: 0.00 μB per formula unit
- SG: Cmc2_1

***

SiGe2Pd | GGA-PBE | relaxed

The structure in extended XYZ format:
```
8
Lattice="-2.9064 2.9064 5.2442 2.9064 -2.9064 5.2442 2.9064 2.9064 -5.2442" Properties=species:S:1:pos:R:3 pbc="T T T"
Si 0.0000 0.0000 0.0000
Si 0.0000 2.9064 2.6221
Ge 4.3597 1.4355 -1.3110
Ge 1.4355 1.4532 1.3110
Ge -1.4532 1.4710 3.9331
Ge 1.4710 1.4532 6.5552
Pd 2.9064 0.0000 2.6221
Pd 0.0000 0.0000 5.2442
```

- Formation energy from raw total energies: 0.12 eV/atom
- Magnetization: 0.00 μB per formula unit
- SG: I-42d

***

TbPrAl2 | GGA-PBE | relaxed

The structure in extended XYZ format:
```
8
Lattice="2.3340 -6.5125 0.0000 2.3340 6.5125 0.0000 0.0000 0.0000 7.0212" Properties=species:S:1:pos:R:3 pbc="T T T"
Tb 2.3340 3.6322 5.2659
Tb 2.3340 -3.6322 1.7553
Pr 2.3340 5.7148 1.7553
Pr 2.3340 -5.7148 5.2659
Al 2.3340 1.2880 0.4435
Al 2.3340 1.2880 3.0671
Al 2.3340 -1.2880 3.9541
Al 2.3340 -1.2880 6.5777
```

- Energy relative to the elements: -0.371 eV/atom
- Magnetization: 0.00 μB per formula unit
- SG: Cmcm

***

Li2ScAsS4 | GGA-PBE | relaxed

The structure in extended XYZ format:
```
16
Lattice="-3.6961 3.7088 5.2606 3.6961 -3.7088 5.2606 3.6961 3.7088 -5.2606" Properties=species:S:1:pos:R:3 pbc="T T T"
Li 0.0000 0.0000 0.0000
Li -1.8481 1.8544 2.6303
Li 0.0000 3.7088 0.0000
Li 1.8481 1.8544 2.6303
Sc 3.6961 0.0000 0.0000
Sc 0.0000 0.0000 5.2606
As 1.8481 1.8544 -2.6303
As 1.8481 -1.8544 2.6303
S 3.6961 -0.0469 2.5940
S 1.8890 1.8544 -0.0560
S 5.5033 1.8544 -0.0560
S 3.6961 3.6619 -2.5940
S 0.0000 0.0469 7.8545
S -1.8071 1.8544 5.3165
S 1.8071 1.8544 5.3165
S 0.0000 3.7557 2.6666
```

- Formation energy from raw total energies: -1.16 eV/atom
- Magnetization: 0.00 μB per formula unit
- SG: Imma

***

Cs2CeCuCl6 | GGA-PBE | relaxed

The structure in extended XYZ format:
```
10
Lattice="0.0000 5.3461 5.3461 5.3461 0.0000 5.3461 5.3461 5.3461 0.0000" Properties=species:S:1:pos:R:3 pbc="T T T"
Cs 2.6731 2.6731 2.6731
Cs 8.0192 8.0192 8.0192
Ce 0.0000 0.0000 0.0000
Cu 5.3461 5.3461 5.3461
Cl 5.3461 5.3461 2.7623
Cl 5.3461 2.7623 5.3461
Cl 7.9300 5.3461 5.3461
Cl 2.7623 5.3461 5.3461
Cl 5.3461 7.9300 5.3461
Cl 5.3461 5.3461 7.9300
```

- Formation energy from raw total energies: -1.76 eV/atom
- Magnetization: 1.00 μB per formula unit
- SG: Fm-3m

***

AcEuPt | GGA-PBE | relaxed

The structure in extended XYZ format:
```
3
Lattice="4.3752 0.0000 0.0000 -2.1876 3.7891 0.0000 0.0000 0.0000 6.8034" Properties=species:S:1:pos:R:3 pbc="T T T"
Ac 0.0000 0.0000 0.0000
Eu 0.0000 2.5260 3.1962
Pt 2.1876 1.2630 1.5768
```

- Energy relative to the elements: -0.765 eV/atom
- Magnetization: 7.28 μB per formula unit
- SG: P3m1

***

Al2NiIr | GGA-PBE | relaxed

The structure in extended XYZ format:
```
4
Lattice="4.2383 0.0000 0.0000 0.0000 4.2383 0.0000 0.0000 0.0000 2.9188" Properties=species:S:1:pos:R:3 pbc="T T T"
Al 0.0000 2.1191 0.0000
Al 2.1191 0.0000 0.0000
Ni 0.0000 0.0000 1.4594
Ir 2.1191 2.1191 1.4594
```

- Energy relative to the elements: -0.772 eV/atom
- Magnetization: 0.00 μB per formula unit
- SG: P4/mmm

***

ZrIn2Pd3 | GGA-PBE | relaxed

The structure in extended XYZ format:
```
12
Lattice="4.6866 0.0000 0.0000 -2.3433 4.0587 0.0000 0.0000 0.0000 11.4646" Properties=species:S:1:pos:R:3 pbc="T T T"
Zr 0.0000 2.7058 1.9045
Zr 2.3433 1.3529 9.5600
In 0.0000 0.0000 0.0000
In 0.0000 0.0000 5.7323
In 0.0000 2.7058 7.6840
In 2.3433 1.3529 3.7805
Pd 0.0000 0.0000 2.8951
Pd 0.0000 0.0000 8.5695
Pd 0.0000 2.7058 4.7619
Pd 0.0000 2.7058 10.5130
Pd 2.3433 1.3529 0.9515
Pd 2.3433 1.3529 6.7027
```

- Energy relative to the elements: -0.609 eV/atom
- Magnetization: 0.00 μB per formula unit
- SG: P-3m1

***

La6Cd2Ag | GGA-PBE | relaxed

The structure in extended XYZ format:
```
18
Lattice="6.5458 0.0000 0.0000 0.0000 9.4398 0.0000 -4.6715 0.0000 9.4946" Properties=species:S:1:pos:R:3 pbc="T T T"
La -1.7437 1.5128 4.5201
La -4.0794 3.2071 9.2674
La 0.2484 6.6103 4.2042
La -2.0874 7.5493 8.9516
La 1.3061 0.3984 2.7615
La -1.0296 4.3215 7.5088
La 2.9040 5.1182 1.9858
La 0.5683 9.0414 6.7332
La 3.9617 1.8904 0.5431
La 1.6260 2.8294 5.2904
La 5.9538 6.2327 0.2272
La 3.6181 7.9270 4.9746
Cd -2.6944 0.9495 7.4643
Cd -0.3587 3.7704 2.7170
Cd 2.2331 5.6694 6.7776
Cd 4.5688 8.4902 2.0303
Ag 0.0000 0.0000 0.0000
Ag -2.3357 4.7199 4.7473
```

- Energy relative to the elements: -0.108 eV/atom
- Magnetization: 0.00 μB per formula unit
- SG: P2_1/c

***

Na2AlCrGa | GGA-PBE | relaxed

The structure in extended XYZ format:
```
5
Lattice="5.6115 0.0000 0.0000 0.0000 5.6115 0.0000 0.0000 0.0000 4.9706" Properties=species:S:1:pos:R:3 pbc="T T T"
Na 0.0000 2.8057 0.0000
Na 2.8057 0.0000 0.0000
Al 0.0000 0.0000 0.0000
Cr 0.0000 0.0000 2.4853
Ga 2.8057 2.8057 2.4853
```

- Energy relative to the elements: 0.780 eV/atom
- Magnetization: 4.65 μB per formula unit
- SG: P4/mmm

***

BaSc2As | GGA-PBE | relaxed

The structure in extended XYZ format:
```
4
Lattice="-2.2666 2.2666 5.0201 2.2666 -2.2666 5.0201 2.2666 2.2666 -5.0201" Properties=species:S:1:pos:R:3 pbc="T T T"
Ba 0.0000 0.0000 0.0000
Sc 2.2666 0.0000 2.5100
Sc 0.0000 0.0000 5.0201
As 0.0000 2.2666 2.5100
```

- Energy relative to the elements: -0.070 eV/atom
- Magnetization: 0.01 μB per formula unit
- SG: I-4m2

***

Ac4Pm | GGA-PBE | relaxed

The structure in extended XYZ format:
```
5
Lattice="-1.9785 1.9785 13.7033 1.9785 -1.9785 13.7033 1.9785 1.9785 -13.7033" Properties=species:S:1:pos:R:3 pbc="T T T"
Ac 0.0000 0.0000 2.5726
Ac 0.0000 0.0000 8.2934
Ac 0.0000 0.0000 19.1133
Ac 0.0000 0.0000 24.8341
Pm 0.0000 0.0000 13.7033
```

- Energy relative to the elements: 0.027 eV/atom
- Magnetization: 0.00 μB per formula unit
- SG: I4/mmm